(1)
Here is a relaxed Hf3HgI crystal from Alexandria. Energies are from GGA-PBE.

Raw formation energy, meV per atom: 1167.7
Size of the total moment, μB/cell: 1.30
Distance to the lowest polymorph of the same formula, eV per atom: 0.000
VASP energy, eV/cell: -25.9

Structure (CIF):
```
data_Hf3HgI
_chemical_formula_sum 'Hf3 Hg1 I1'
_cell_length_a 5.294
_cell_length_b 5.294
_cell_length_c 5.294
_cell_angle_alpha 90.00
_cell_angle_beta 90.00
_cell_angle_gamma 90.00
_symmetry_space_group_name_H-M 'P m -3 m'
_symmetry_Int_Tables_number 221
_symmetry_space_group_name_Hall '-P 4 2 3'
loop_
_atom_site_label
_atom_site_type_symbol
_atom_site_fract_x
_atom_site_fract_y
_atom_site_fract_z
_atom_site_occupancy
Hf1 Hf 0.000 0.000 0.500 1
Hg1 Hg 0.000 0.000 0.000 1
I1 I 0.500 0.500 0.500 1
```

(2)
Here is a relaxed PrEuSi crystal from Alexandria. Energies are from GGA-PBE.

Raw formation energy, meV per atom: -376.9
Size of the total moment, μB/cell: 31.40
VASP energy, eV/cell: -86.4

Structure (CIF):
```
data_PrEuSi
_chemical_formula_sum 'Pr4 Eu4 Si4'
_cell_length_a 7.227
_cell_length_b 7.227
_cell_length_c 7.227
_cell_angle_alpha 90.00
_cell_angle_beta 90.00
_cell_angle_gamma 90.00
_symmetry_space_group_name_H-M 'F -4 3 m'
_symmetry_Int_Tables_number 216
_symmetry_space_group_name_Hall 'F -4 2 3'
loop_
_atom_site_label
_atom_site_type_symbol
_atom_site_fract_x
_atom_site_fract_y
_atom_site_fract_z
_atom_site_occupancy
Pr1 Pr 0.000 0.000 0.000 1
Eu1 Eu 0.000 0.000 0.500 1
Si1 Si 0.250 0.250 0.750 1
```

(3)
Here is a relaxed BaSn4Pd12 crystal from Alexandria. Energies are from GGA-PBE.

Energy of formation from the pure elements, eV/atom: -0.1288
Size of the total moment, μB/cell: 0.00
VASP energy, eV/cell: -164.9

Structure (CIF):
```
data_BaSn4Pd12
_chemical_formula_sum 'Ba2 Sn8 Pd24'
_cell_length_a 9.000
_cell_length_b 9.000
_cell_length_c 9.000
_cell_angle_alpha 90.00
_cell_angle_beta 90.00
_cell_angle_gamma 90.00
_symmetry_space_group_name_H-M 'I m -3'
_symmetry_Int_Tables_number 204
_symmetry_space_group_name_Hall '-I 2 2 3'
loop_
_atom_site_label
_atom_site_type_symbol
_atom_site_fract_x
_atom_site_fract_y
_atom_site_fract_z
_atom_site_occupancy
Ba1 Ba 0.000 0.000 0.000 1
Sn1 Sn 0.250 0.250 0.250 1
Pd1 Pd 0.000 0.153 0.355 1
```

(4)
Here is a relaxed KCaZn crystal from Alexandria. Energies are from GGA-PBE.

Energy of formation from the pure elements, eV/atom: 0.2041
Size of the total moment, μB/cell: 0.00
VASP energy, eV/cell: -15.0

Structure (CIF):
```
data_KCaZn
_chemical_formula_sum 'K4 Ca4 Zn4'
_cell_length_a 7.842
_cell_length_b 7.842
_cell_length_c 7.842
_cell_angle_alpha 90.00
_cell_angle_beta 90.00
_cell_angle_gamma 90.00
_symmetry_space_group_name_H-M 'F -4 3 m'
_symmetry_Int_Tables_number 216
_symmetry_space_group_name_Hall 'F -4 2 3'
loop_
_atom_site_label
_atom_site_type_symbol
_atom_site_fract_x
_atom_site_fract_y
_atom_site_fract_z
_atom_site_occupancy
K1 K 0.000 0.000 0.000 1
Ca1 Ca 0.000 0.000 0.500 1
Zn1 Zn 0.250 0.250 0.250 1
```

(5)
Here is a relaxed MnMo2Au crystal from Alexandria. Energies are from GGA-PBE.

Energy of formation from the pure elements, eV/atom: 0.2729
Size of the total moment, μB/cell: 5.66
Distance to the lowest polymorph of the same formula, eV per atom: 0.107
VASP energy, eV/cell: -66.0

Structure (CIF):
```
data_MnMo2Au
_chemical_formula_sum 'Mn2 Mo4 Au2'
_cell_length_a 9.244
_cell_length_b 2.715
_cell_length_c 5.032
_cell_angle_alpha 90.00
_cell_angle_beta 97.51
_cell_angle_gamma 90.00
_symmetry_space_group_name_H-M 'C 1 m 1'
_symmetry_Int_Tables_number 8
loop_
_symmetry_equiv_pos_as_xyz
'x,y,z'
'x,-y,z'
'x+1/2,y+1/2,z'
'x+1/2,-y+1/2,z'
loop_
_atom_site_label
_atom_site_type_symbol
_atom_site_fract_x
_atom_site_fract_y
_atom_site_fract_z
_atom_site_occupancy
Mn1 Mn 0.000 0.000 0.000 1
Mo1 Mo 0.255 0.000 0.754 1
Mo2 Mo 0.496 0.000 0.506 1
Au1 Au 0.247 0.500 0.242 1
```

(6)
Here is a relaxed Ca2IBr3 crystal from Alexandria. Energies are from GGA-PBE.

Raw formation energy, meV per atom: -1936.0
Size of the total moment, μB/cell: 0.00
VASP energy, eV/cell: -133.1

Structure (CIF):
```
data_Ca2IBr3
_chemical_formula_sum 'Ca12 I6 Br18'
_cell_length_a 8.7035
_cell_length_b 8.7035
_cell_length_c 21.6111
_cell_angle_alpha 90.00
_cell_angle_beta 90.00
_cell_angle_gamma 120.00
_symmetry_space_group_name_H-M 'R -3 m'
_symmetry_Int_Tables_number 166
_symmetry_space_group_name_Hall '-R 3 2"'
loop_
_atom_site_label
_atom_site_type_symbol
_atom_site_fract_x
_atom_site_fract_y
_atom_site_fract_z
_atom_site_occupancy
Ca1 Ca 0.0000 0.0000 0.0000 1
Ca2 Ca 0.0000 0.5000 0.0000 1
I1 I 0.0000 0.0000 0.2459 1
Br1 Br 0.0020 0.5010 0.2632 1
```

(7)
Here is a relaxed Sr2FeHg4 crystal from Alexandria. Energies are from GGA-PBE.

Energy of formation from the pure elements, eV/atom: -0.1221
Size of the total moment, μB/cell: 4.25
VASP energy, eV/cell: -27.8

Structure (CIF):
```
data_Sr2FeHg4
_chemical_formula_sum 'Sr4 Fe2 Hg8'
_cell_length_a 5.110
_cell_length_b 5.110
_cell_length_c 16.513
_cell_angle_alpha 90.00
_cell_angle_beta 90.00
_cell_angle_gamma 90.00
_symmetry_space_group_name_H-M 'I 4/m m m'
_symmetry_Int_Tables_number 139
_symmetry_space_group_name_Hall '-I 4 2'
loop_
_atom_site_label
_atom_site_type_symbol
_atom_site_fract_x
_atom_site_fract_y
_atom_site_fract_z
_atom_site_occupancy
Sr1 Sr 0.000 0.000 0.138 1
Fe1 Fe 0.000 0.000 0.500 1
Hg1 Hg 0.000 0.000 0.338 1
Hg2 Hg 0.000 0.500 0.000 1
```

(8)
Here is a relaxed Ni3MoIr crystal from Alexandria. Energies are from GGA-PBE.

Energy of formation from the pure elements, eV/atom: 1.5481
Size of the total moment, μB/cell: 5.35
Distance to the lowest polymorph of the same formula, eV per atom: 1.604
VASP energy, eV/cell: -29.3

Structure (CIF):
```
data_Ni3MoIr
_chemical_formula_sum 'Ni3 Mo1 Ir1'
_cell_length_a 4.479
_cell_length_b 4.479
_cell_length_c 4.479
_cell_angle_alpha 90.00
_cell_angle_beta 90.00
_cell_angle_gamma 90.00
_symmetry_space_group_name_H-M 'P m -3 m'
_symmetry_Int_Tables_number 221
_symmetry_space_group_name_Hall '-P 4 2 3'
loop_
_atom_site_label
_atom_site_type_symbol
_atom_site_fract_x
_atom_site_fract_y
_atom_site_fract_z
_atom_site_occupancy
Ni1 Ni 0.000 0.000 0.500 1
Mo1 Mo 0.500 0.500 0.500 1
Ir1 Ir 0.000 0.000 0.000 1
```